Compound: Li2YI5
Source: Alexandria
Functional: GGA-PBE
Structure: optimized geometry

As for the energy relative to the lowest polymorph listed for this composition: 0.016 eV/atom. The calculation puts the total DFT energy (no corrections) at -3.490 eV/atom. The value obtained for the magnetic moment is 0.00 μB/f.u.

Cell: 13.130 9.078 7.521 Å, 90.00 120.09 90.00°
Fractional coordinates of all 16 atoms:
Li1 0.000 0.213 0.000
Li2 0.000 0.787 0.000
Li3 0.500 0.287 0.000
Li4 0.500 0.713 0.000
Y1 0.267 0.500 0.214
Y2 0.767 0.000 0.214
I1 0.020 0.000 0.293
I2 0.023 0.500 0.167
I3 0.206 0.230 0.973
I4 0.206 0.770 0.973
I5 0.364 0.500 0.669
I6 0.520 0.500 0.293
I7 0.523 0.000 0.167
I8 0.706 0.270 0.973
I9 0.706 0.730 0.973
I10 0.864 0.000 0.669

***

Compound: CaZr2Co
Source: Alexandria
Functional: GGA-PBE
Structure: optimized geometry

As for the energy relative to the lowest polymorph listed for this composition: 0.080 eV/atom. The calculation puts the total DFT energy (no corrections) at -6.437 eV/atom. The value obtained for the magnetic moment is 0.25 μB/f.u.

Cell: 3.156 3.156 9.172 Å, 90.00 90.00 90.00°
Fractional coordinates of all 4 atoms:
Ca1 0.000 0.000 0.000
Zr1 0.500 0.500 0.328
Zr2 0.500 0.500 0.672
Co1 0.000 0.000 0.500

***

Compound: BaTaIr2
Source: Alexandria
Functional: GGA-PBE
Structure: optimized geometry

As for the energy relative to the lowest polymorph listed for this composition: 0.325 eV/atom. The calculation puts the total DFT energy (no corrections) at -7.765 eV/atom. The value obtained for the magnetic moment is 0.00 μB/f.u.

Cell: 3.559 4.122 6.882 Å, 90.00 102.45 90.00°
Fractional coordinates of all 4 atoms:
Ba1 0.000 0.000 0.000
Ta1 0.220 0.500 0.535
Ir1 0.611 0.500 0.265
Ir2 0.690 0.000 0.516